## Pr3YIr8 (PBE)

Data for crystalline Pr3YIr8 at its relaxed geometry.

abc: 9.415 9.415 9.415
angles: 33.58 33.58 33.58
Fractional coordinates of all 12 atoms:
Pr: 0.000 0.000 0.000
Pr: 0.125 0.125 0.125
Pr: 0.501 0.501 0.501
Y: 0.625 0.625 0.625
Ir: 0.061 0.562 0.562
Ir: 0.063 0.063 0.564
Ir: 0.063 0.564 0.063
Ir: 0.313 0.313 0.313
Ir: 0.562 0.061 0.562
Ir: 0.562 0.562 0.061
Ir: 0.564 0.063 0.063
Ir: 0.813 0.813 0.813

Output
* DFT total energy: -99.993 eV for the cell shown
* space group: R3m, No. 160
* density of states at the Fermi level: 0.83 states/eV/atom
* density: 14.96 g/cm³
* calculated formation energy: -0.692 eV per atom